# SrSc4Si (PBE, optimized geometry)
data_SrSc4Si
_chemical_formula_sum 'Sr4 Sc16 Si4'
_symmetry_space_group_name_H-M 'F -4 3 m'
_symmetry_Int_Tables_number 216
_symmetry_space_group_name_Hall 'F -4 2 3'
_cell_length_a 8.599
_cell_length_b 8.599
_cell_length_c 8.599
_cell_angle_alpha 90.00
_cell_angle_beta 90.00
_cell_angle_gamma 90.00
loop_
_atom_site_label
_atom_site_type_symbol
_atom_site_fract_x
_atom_site_fract_y
_atom_site_fract_z
Sr1 Sr 0.000 0.000 0.000
Sc1 Sc 0.125 0.125 0.375
Si1 Si 0.250 0.250 0.750
# Raw total energy ... -120.47 eV/cell
# E_form (uncorrected) ... 2.3 eV/f.u.